Record 1
DFT (PBE) results for a relaxed structure of PmTm2Ag3.

Computed properties:
**Total energy**: -4.028 eV/atom
**Calculated volume**: 143.8 Å³ per cell
**N(E_F)**: 2.9 states/eV per cell

Lattice parameters (Å, degrees): 3.603 3.603 11.079 90.00 90.00 90.00
Space group P4/mmm (No. 123)
Inequivalent atoms, fractional coordinates:
Pm 0.000 0.000 0.000 [1 per cell]
Tm 0.000 0.000 0.338 [2 per cell]
Ag 0.500 0.500 0.182 [2 per cell]
Ag 0.500 0.500 0.500 [1 per cell]

Record 2
DFT (PBE) results for a relaxed structure of PmTm3Ag2.

Computed properties:
**Total energy**: -4.187 eV/atom
**Calculated volume**: 157.7 Å³ per cell
**N(E_F)**: 6.4 states/eV per cell

Lattice parameters (Å, degrees): 3.588 3.588 12.246 90.00 90.00 90.00
Space group P4/mmm (No. 123)
Inequivalent atoms, fractional coordinates:
Pm 0.000 0.000 0.000 [1 per cell]
Tm 0.500 0.500 0.207 [2 per cell]
Tm 0.500 0.500 0.500 [1 per cell]
Ag 0.000 0.000 0.352 [2 per cell]

Record 3
DFT (PBE) results for a relaxed structure of PmY3Ag.

Computed properties:
**Total energy**: -5.356 eV/atom
**Calculated volume**: 649.3 Å³ per cell
**N(E_F)**: 30.8 states/eV per cell

Lattice parameters (Å, degrees): 11.674 8.493 7.906 90.00 124.07 90.00
Space group C2/m (No. 12)
Inequivalent atoms, fractional coordinates:
Pm 0.084 0.000 0.275 [4 per cell]
Y 0.051 0.500 0.311 [4 per cell]
Y 0.184 0.202 0.707 [8 per cell]
Ag 0.238 0.000 0.065 [4 per cell]

Record 4
DFT (PBE) results for a relaxed structure of PmY3Ag2.

Computed properties:
**Total energy**: -5.179 eV/atom
**Calculated volume**: 164.4 Å³ per cell
**N(E_F)**: 6.6 states/eV per cell

Lattice parameters (Å, degrees): 3.640 3.640 12.409 90.00 90.00 90.00
Space group P4/mmm (No. 123)
Inequivalent atoms, fractional coordinates:
Pm 0.000 0.000 0.000 [1 per cell]
Y 0.500 0.500 0.206 [2 per cell]
Y 0.500 0.500 0.500 [1 per cell]
Ag 0.000 0.000 0.352 [2 per cell]

Record 5
DFT (PBE) results for a relaxed structure of Pm3YAg2.

Computed properties:
**Total energy**: -4.350 eV/atom
**Calculated volume**: 774.0 Å³ per cell
**N(E_F)**: 34.2 states/eV per cell

Lattice parameters (Å, degrees): 7.094 14.238 7.663 90.00 90.00 90.00
Space group Ibam (No. 72)
Inequivalent atoms, fractional coordinates:
Pm 0.000 0.000 0.250 [4 per cell]
Pm 0.000 0.275 0.250 [8 per cell]
Y 0.000 0.500 0.000 [4 per cell]
Ag 0.196 0.141 0.000 [8 per cell]

Record 6
DFT (PBE) results for a relaxed structure of Pm2YAg.

Computed properties:
**Total energy**: -4.799 eV/atom
**Calculated volume**: 486.2 Å³ per cell
**N(E_F)**: 16.8 states/eV per cell

Lattice parameters (Å, degrees): 7.104 10.162 6.734 90.00 90.00 90.00
Space group Pnma (No. 62)
Inequivalent atoms, fractional coordinates:
Pm 0.200 0.049 0.187 [8 per cell]
Y 0.011 0.250 0.619 [4 per cell]
Ag 0.088 0.750 0.953 [4 per cell]